(1)
# Mn2CrP (meta-GGA SCAN, single point on PBEsol structure)
data_Mn2CrP
_cell_length_a 2.608
_cell_length_b 3.600
_cell_length_c 4.526
_cell_angle_alpha 90.00
_cell_angle_beta 90.00
_cell_angle_gamma 90.00
_space_group_name_H-M_alt 'P 1'
_space_group_IT_number 1
_space_group_name_Hall 'P 1'
loop_
_atom_site_label
_atom_site_type_symbol
_atom_site_fract_x
_atom_site_fract_y
_atom_site_fract_z
_atom_site_occupancy
Mn1 Mn 0.000 0.000 0.000 1
Mn2 Mn 0.500 0.500 0.283 1
Cr1 Cr 0.500 0.500 0.760 1
P1 P 0.000 0.000 0.501 1
# Final energy ... -16.3610 eV/atom
# N(E_F) ... 3.21 states/eV/f.u.
# M_tot ... 0.00 μB per cell
# ΔE_f ... -0.038 eV per atom

(2)
# BiBPd3 (meta-GGA SCAN, single point on PBEsol structure)
data_BiBPd3
_cell_length_a 4.271
_cell_length_b 4.271
_cell_length_c 4.271
_cell_angle_alpha 90.00
_cell_angle_beta 90.00
_cell_angle_gamma 90.00
_space_group_name_H-M_alt 'P 1'
_space_group_IT_number 1
_space_group_name_Hall 'P 1'
loop_
_atom_site_label
_atom_site_type_symbol
_atom_site_fract_x
_atom_site_fract_y
_atom_site_fract_z
_atom_site_occupancy
Bi1 Bi 0.000 0.000 0.000 1
B1 B 0.500 0.500 0.500 1
Pd1 Pd 0.000 0.500 0.500 1
Pd2 Pd 0.500 0.000 0.500 1
Pd3 Pd 0.500 0.500 0.000 1
# Final energy ... -37.0292 eV/atom
# N(E_F) ... 3.07 states/eV/f.u.
# M_tot ... 0.00 μB per cell
# ΔE_f ... -0.163 eV per atom

(3)
# TlCoHg2Br (meta-GGA SCAN, single point on PBEsol structure)
data_TlCoHg2Br
_cell_length_a 5.600
_cell_length_b 5.600
_cell_length_c 5.741
_cell_angle_alpha 90.00
_cell_angle_beta 90.00
_cell_angle_gamma 90.00
_space_group_name_H-M_alt 'P 1'
_space_group_IT_number 1
_space_group_name_Hall 'P 1'
loop_
_atom_site_label
_atom_site_type_symbol
_atom_site_fract_x
_atom_site_fract_y
_atom_site_fract_z
_atom_site_occupancy
Tl1 Tl 0.000 0.000 0.000 1
Co1 Co 0.500 0.500 0.500 1
Hg1 Hg 0.000 0.500 0.000 1
Hg2 Hg 0.500 0.000 0.000 1
Br1 Br 0.000 0.000 0.500 1
# Final energy ... -48.4444 eV/atom
# N(E_F) ... 4.56 states/eV/f.u.
# ΔE_f (raw) ... 646 meV/atom
# M_tot ... 3.08 μB per cell